[1]
The following is a PBE-GGA calculation of crystalline Zr2CoAg at its relaxed geometry, from Alexandria via LeMat-Bulk.

CIF file:
```
data_Zr2CoAg
_space_group_name_H-M_alt 'P 1'
_space_group_IT_number 1
_space_group_name_Hall 'P 1'
_cell_length_a 4.6987
_cell_length_b 4.6987
_cell_length_c 4.6987
_cell_angle_alpha 60.00
_cell_angle_beta 60.00
_cell_angle_gamma 60.00
loop_
_atom_site_label
_atom_site_type_symbol
_atom_site_fract_x
_atom_site_fract_y
_atom_site_fract_z
_atom_site_occupancy
Zr1 Zr 0.2500 0.2500 0.2500 1
Zr2 Zr 0.7500 0.7500 0.7500 1
Co1 Co 0.0000 0.0000 0.0000 1
Ag1 Ag 0.5000 0.5000 0.5000 1
```



[2]
The following is a PBE-GGA calculation of crystalline ZrCoAg at its relaxed geometry, from Alexandria via LeMat-Bulk.

CIF file:
```
data_ZrCoAg
_space_group_name_H-M_alt 'P 1'
_space_group_IT_number 1
_space_group_name_Hall 'P 1'
_cell_length_a 5.1765
_cell_length_b 5.1765
_cell_length_c 5.1765
_cell_angle_alpha 142.58
_cell_angle_beta 142.58
_cell_angle_gamma 53.96
loop_
_atom_site_label
_atom_site_type_symbol
_atom_site_fract_x
_atom_site_fract_y
_atom_site_fract_z
_atom_site_occupancy
Zr1 Zr 0.0000 0.0000 0.0000 1
Co1 Co 0.3666 0.3666 0.0000 1
Ag1 Ag 0.6927 0.6927 0.0000 1
```



[3]
The following is a PBE-GGA calculation of crystalline ZrCo2Ag at its relaxed geometry, from Alexandria via LeMat-Bulk.

CIF file:
```
data_ZrCo2Ag
_space_group_name_H-M_alt 'P 1'
_space_group_IT_number 1
_space_group_name_Hall 'P 1'
_cell_length_a 2.9980
_cell_length_b 2.9980
_cell_length_c 6.9065
_cell_angle_alpha 90.00
_cell_angle_beta 90.00
_cell_angle_gamma 90.00
loop_
_atom_site_label
_atom_site_type_symbol
_atom_site_fract_x
_atom_site_fract_y
_atom_site_fract_z
_atom_site_occupancy
Zr1 Zr 0.0000 0.0000 0.0000 1
Co1 Co 0.0000 0.0000 0.5782 1
Co2 Co 0.5000 0.5000 0.7355 1
Ag1 Ag 0.5000 0.5000 0.3227 1
```



| no. | final energy (eV/f.u.) |
| --- | --- |
| 1 | -27.195 |
| 2 | -18.627 |
| 3 | -25.295 |